Computed, not measured: a geometry-optimized SrTe2Ir structure at the PBEsol level of DFT.

The calculation puts the total magnetization at 0.00 μB/f.u. For the density of states at the Fermi level, the calculation gives 2.9 states/eV per cell. The excess energy over the best structure of this formula in the dataset comes out at 334 meV per atom. As for the space group: P4mm.

Cell: 3.8888 3.8888 6.7342 Å, 90.00 90.00 90.00°
Last column: nearest neighbours and their distance in Å.
Fractional coordinates of all 4 atoms:
Sr 0.5000 0.5000 0.7801  5 Te 3.13-3.14
Ir 0.0000 0.0000 0.3994  5 Te 2.66-2.81
Te 0.5000 0.5000 0.3158  4 Ir 2.81, 1 Sr 3.13
Te 0.0000 0.0000 0.0044  1 Ir 2.66